1.
TbHo3Sc2 after structural relaxation, computed with PBE.

Geometry as CIF:
```
data_TbHo3Sc2
_cell_length_a 14.2540
_cell_length_b 9.6584
_cell_length_c 5.4269
_cell_angle_alpha 90.00
_cell_angle_beta 90.00
_cell_angle_gamma 90.00
_space_group_name_H-M_alt 'C m c m'
_space_group_IT_number 63
_space_group_name_Hall '-C 2c 2'
loop_
_atom_site_label
_atom_site_type_symbol
_atom_site_fract_x
_atom_site_fract_y
_atom_site_fract_z
Tb1 Tb 0.0000 0.2243 0.2500
Ho1 Ho 0.0000 0.4059 0.7500
Ho2 Ho 0.2417 0.3687 0.7500
Sc1 Sc 0.1064 0.0938 0.7500
```

Properties
- Total moment: 0.000 μB per formula unit

---

2.
Tb2HoSc8 after structural relaxation, computed with PBE.

Geometry as CIF:
```
data_Tb2HoSc8
_cell_length_a 8.7115
_cell_length_b 16.0070
_cell_length_c 5.4991
_cell_angle_alpha 90.00
_cell_angle_beta 128.75
_cell_angle_gamma 90.00
_space_group_name_H-M_alt 'C 1 2/m 1'
_space_group_IT_number 12
_space_group_name_Hall '-C 2y'
loop_
_atom_site_label
_atom_site_type_symbol
_atom_site_fract_x
_atom_site_fract_y
_atom_site_fract_z
Tb1 Tb 0.0000 0.1910 0.0000
Ho1 Ho 0.0000 0.5000 0.5000
Sc1 Sc 0.0000 0.2981 0.5000
Sc2 Sc 0.0080 0.0000 0.2499
Sc3 Sc 0.2239 0.3728 0.2208
```

Properties
- Total moment: 0.000 μB per formula unit

---

3.
Tb2Ho3Sc2 after structural relaxation, computed with PBE.

Geometry as CIF:
```
data_Tb2Ho3Sc2
_cell_length_a 5.1732
_cell_length_b 23.2289
_cell_length_c 3.4360
_cell_angle_alpha 90.00
_cell_angle_beta 90.00
_cell_angle_gamma 90.00
_space_group_name_H-M_alt 'C m m m'
_space_group_IT_number 65
_space_group_name_Hall '-C 2 2'
loop_
_atom_site_label
_atom_site_type_symbol
_atom_site_fract_x
_atom_site_fract_y
_atom_site_fract_z
Tb1 Tb 0.0000 0.0752 0.0000
Ho1 Ho 0.0000 0.3436 0.5000
Ho2 Ho 0.0000 0.5000 0.5000
Sc1 Sc 0.0000 0.2163 0.0000
```

Properties
- Total moment: 0.000 μB per formula unit

---

4.
TbHo3Sc4 after structural relaxation, computed with PBE.

Geometry as CIF:
```
data_TbHo3Sc4
_cell_length_a 10.7634
_cell_length_b 6.9329
_cell_length_c 6.0033
_cell_angle_alpha 90.00
_cell_angle_beta 90.00
_cell_angle_gamma 90.00
_space_group_name_H-M_alt 'P m n 21'
_space_group_IT_number 31
_space_group_name_Hall 'P 2ac -2'
loop_
_atom_site_label
_atom_site_type_symbol
_atom_site_fract_x
_atom_site_fract_y
_atom_site_fract_z
Tb1 Tb 0.0000 0.1335 0.0000
Ho1 Ho 0.0000 0.8667 0.4993
Ho2 Ho 0.2502 0.1336 0.3415
Sc1 Sc 0.0000 0.3831 0.5074
Sc2 Sc 0.0000 0.6173 0.0072
Sc3 Sc 0.2494 0.6172 0.3339
```

Properties
- Total moment: 0.030 μB per formula unit

---

| no. | calculated formation energy (eV per atom) |
| --- | --- |
| 1 | 0.300 |
| 2 | 0.143 |
| 3 | 0.035 |
| 4 | 0.026 |